1.
## MgIn2Sn5 (GGA-PBE)

Data for MgIn2Sn5 after structural relaxation.

Geometry as POSCAR:
```
MgIn2Sn5
1.0
-2.682 0.035 -6.001
3.590 -5.283 1.599
-5.462 0.566 3.624
Mg In Sn
1 2 5
direct
0.772 0.773 0.000 Mg
0.263 0.762 0.500 In
0.774 0.273 0.500 In
0.266 0.258 0.476 Sn
0.265 0.789 0.008 Sn
0.781 0.258 0.992 Sn
0.782 0.789 0.523 Sn
0.320 0.320 0.000 Sn
```

Results
The value obtained for the raw total energy is -3.3681 eV per atom. The space group is P1 (1). As for the formation energy: 0.141 eV/f.u. Its volume is 214.0 Å³ per cell. The total moment is 0.00 μB/cell. The value obtained for the energy above the most stable polymorph in this dataset is 0.00 eV per formula unit.

=====

2.
## NaTbSn (GGA-PBE)

Data for NaTbSn after structural relaxation.

Geometry as POSCAR:
```
NaTbSn
1.0
5.188 0.000 0.000
-2.594 4.493 0.000
0.000 0.000 7.771
Sn Tb Na
2 2 2
direct
0.000 0.000 0.796 Sn
0.000 0.000 0.204 Sn
0.333 0.667 0.900 Tb
0.667 0.333 0.100 Tb
0.667 0.333 0.613 Na
0.333 0.667 0.387 Na
```

Results
The value obtained for the raw total energy is -3.5583 eV per atom. The space group is P-3m1 (164). As for the formation energy: -0.723 eV/f.u. Its volume is 181.2 Å³ per cell. The total moment is 0.00 μB/cell.

=====

3.
## Nb2SiS (GGA-PBE)

Data for Nb2SiS after structural relaxation.

Geometry as POSCAR:
```
Nb2SiS
1.0
4.159 -1.270 -0.967
0.935 -4.318 -0.569
0.967 -1.553 -4.061
Nb Si S
2 1 1
direct
0.250 0.250 0.250 Nb
0.750 0.750 0.750 Nb
0.000 0.000 0.000 Si
0.500 0.500 0.500 S
```

Results
For the uncorrected formation energy, the calculation gives -0.376 eV/atom. The value obtained for the raw total energy is -7.7989 eV per atom. The space group is Fm-3m (225). Its volume is 62.5 Å³ per cell. The total moment is 0.00 μB/cell. The value obtained for the energy above the most stable polymorph in this dataset is 0.00 eV per formula unit.

=====

4.
## GdGaAu2 (GGA-PBE)

Data for GdGaAu2 after structural relaxation.

Geometry as POSCAR:
```
GdGaAu2
1.0
4.040 0.000 0.000
0.000 4.573 0.000
0.000 0.000 4.573
Gd Au Ga
1 2 1
direct
0.500 0.500 0.500 Gd
0.000 0.000 0.500 Au
0.000 0.500 0.000 Au
0.500 0.000 0.000 Ga
```

Results
The value obtained for the raw total energy is -6.4539 eV per atom. The space group is P4/mmm (123). As for the formation energy: -2.153 eV/f.u. Its volume is 84.5 Å³ per cell. The total moment is 7.20 μB/cell.

=====

5.
## Sm3YBi2 (GGA-PBE)

Data for Sm3YBi2 after structural relaxation.

Geometry as POSCAR:
```
Sm3YBi2
1.0
-1.887 -3.359 -2.123
10.072 -3.547 1.217
-7.279 -0.432 7.151
Sm Y Bi
6 2 4
direct
0.312 0.624 0.517 Sm
0.945 0.890 0.561 Sm
0.645 0.290 0.815 Sm
0.355 0.710 0.185 Sm
0.055 0.110 0.439 Sm
0.688 0.376 0.483 Sm
0.890 0.781 0.891 Y
0.110 0.219 0.109 Y
0.493 0.987 0.830 Bi
0.507 0.013 0.170 Bi
0.748 0.496 0.219 Bi
0.252 0.504 0.781 Bi
```

Results
The value obtained for the raw total energy is -5.2515 eV per atom. The space group is C2/m (12). As for the formation energy: -3.125 eV/f.u. Its volume is 382.6 Å³ per cell. The total moment is 0.37 μB/cell. The value obtained for the energy above the most stable polymorph in this dataset is 0.73 eV per formula unit.

=====

6.
## LiMg14BO15 (GGA-PBE)

Data for LiMg14BO15 after structural relaxation.

Geometry as POSCAR:
```
LiMg14BO15
1.0
-2.725 -3.237 0.235
3.310 -3.289 -6.912
5.658 -4.413 4.810
Li Mg B O
1 14 1 15
direct
0.000 0.999 0.000 Li
0.000 0.997 0.500 Mg
0.000 0.498 0.000 Mg
0.500 0.999 0.245 Mg
0.500 0.999 0.755 Mg
0.500 0.498 0.251 Mg
0.500 0.498 0.749 Mg
0.500 0.754 0.000 Mg
0.500 0.735 0.500 Mg
0.500 0.242 0.000 Mg
0.500 0.258 0.500 Mg
0.000 0.746 0.238 Mg
0.000 0.746 0.762 Mg
0.000 0.250 0.238 Mg
0.000 0.250 0.762 Mg
0.000 0.484 0.500 B
0.000 0.746 0.000 O
0.000 0.251 0.000 O
0.000 0.314 0.500 O
0.500 0.749 0.257 O
0.500 0.749 0.743 O
0.500 0.248 0.255 O
0.500 0.248 0.745 O
0.500 0.998 0.000 O
0.500 0.002 0.500 O
0.500 0.499 0.000 O
0.500 0.498 0.500 O
0.000 0.999 0.270 O
0.000 0.999 0.730 O
0.000 0.498 0.244 O
0.000 0.498 0.756 O
```

Results
For the uncorrected formation energy, the calculation gives -2.399 eV/atom. The value obtained for the raw total energy is -5.7952 eV per atom. The space group is Pmm2 (25). Its volume is 305.3 Å³ per cell. The total moment is 0.00 μB/cell. The value obtained for the energy above the most stable polymorph in this dataset is 1.18 eV per formula unit.

=====

7.
## Pm2H10Rh3 (GGA-PBE)

Data for Pm2H10Rh3 after structural relaxation.

Geometry as POSCAR:
```
Pm2H10Rh3
1.0
-0.020 0.048 -5.138
4.899 -5.824 0.144
-7.404 -2.481 2.826
Pm H Rh
4 20 6
direct
0.683 0.284 0.391 Pm
0.317 0.716 0.609 Pm
0.587 0.730 0.208 Pm
0.413 0.270 0.792 Pm
0.651 0.008 0.789 H
0.156 0.978 0.774 H
0.349 0.992 0.211 H
0.844 0.022 0.226 H
0.599 0.490 0.666 H
0.101 0.480 0.663 H
0.401 0.510 0.334 H
0.899 0.520 0.337 H
0.963 0.762 0.912 H
0.037 0.238 0.088 H
0.879 0.252 0.727 H
0.121 0.748 0.273 H
0.757 0.746 0.531 H
0.243 0.254 0.469 H
0.521 0.840 0.949 H
0.479 0.160 0.051 H
0.791 0.520 0.995 H
0.209 0.480 0.005 H
0.500 0.000 0.500 H
0.000 0.000 0.500 H
0.939 0.510 0.817 Rh
0.061 0.490 0.183 Rh
0.823 0.989 0.636 Rh
0.177 0.011 0.364 Rh
0.771 0.056 0.022 Rh
0.229 0.944 0.978 Rh
```

Results
The value obtained for the raw total energy is -4.7557 eV per atom. The space group is P-1 (2). Its volume is 283.6 Å³ per cell. The total moment is 0.00 μB/cell.

=====

8.
## KNbO3 (GGA-PBE)

Data for KNbO3 after structural relaxation.

Geometry as POSCAR:
```
KNbO3
1.0
3.157 -1.823 0.000
0.000 3.645 0.000
0.000 0.000 14.311
Nb K O
2 2 6
direct
0.333 0.667 0.750 Nb
0.667 0.333 0.250 Nb
0.000 0.000 0.000 K
0.000 0.000 0.500 K
0.000 0.000 0.250 O
0.000 0.000 0.750 O
0.333 0.667 0.881 O
0.333 0.667 0.619 O
0.667 0.333 0.381 O
0.667 0.333 0.119 O
```

Results
For the uncorrected formation energy, the calculation gives -1.953 eV/atom. The value obtained for the raw total energy is -7.1609 eV per atom. The space group is P6_3/mmc (194). Its volume is 164.7 Å³ per cell. The total moment is 0.00 μB/cell.

=====

9.
## Li4HgP2 (GGA-PBE)

Data for Li4HgP2 after structural relaxation.

Geometry as POSCAR:
```
Li4HgP2
1.0
-0.921 0.748 -4.213
2.485 -1.780 -3.133
-4.293 -6.876 -2.556
Li Hg P
4 1 2
direct
0.420 0.420 0.739 Li
0.205 0.205 0.385 Li
0.795 0.795 0.615 Li
0.580 0.580 0.261 Li
0.000 0.000 0.000 Hg
0.099 0.099 0.702 P
0.901 0.901 0.298 P
```

Results
The value obtained for the raw total energy is -3.2094 eV per atom. The space group is R-3m (166). As for the formation energy: -3.689 eV/f.u. Its volume is 134.6 Å³ per cell. The total moment is 0.00 μB/cell.

=====

10.
## Li2AsPd2 (GGA-PBE)

Data for Li2AsPd2 after structural relaxation.

Geometry as POSCAR:
```
Li2AsPd2
1.0
4.123 0.000 -1.303
0.000 4.915 0.000
-0.020 0.000 7.111
Li As Pd
4 2 4
direct
0.967 0.854 0.935 Li
0.828 0.351 0.656 Li
0.172 0.851 0.344 Li
0.033 0.354 0.065 Li
0.370 0.035 0.741 As
0.630 0.535 0.259 As
0.435 0.544 0.871 Pd
0.781 0.851 0.561 Pd
0.219 0.351 0.439 Pd
0.565 0.044 0.129 Pd
```

Results
The value obtained for the raw total energy is -4.3012 eV per atom. The space group is Cmc2_1 (36). As for the formation energy: -2.643 eV/f.u. Its volume is 144.0 Å³ per cell. The total moment is 0.00 μB/cell. The value obtained for the energy above the most stable polymorph in this dataset is 0.04 eV per formula unit.

=====

11.
## Na3NbSe (GGA-PBE)

Data for Na3NbSe after structural relaxation.

Geometry as POSCAR:
```
Na3NbSe
1.0
5.737 0.000 0.000
0.000 5.737 0.000
0.000 0.000 5.737
Na Nb Se
3 1 1
direct
0.000 0.500 0.000 Na
0.000 0.000 0.500 Na
0.500 0.000 0.000 Na
0.000 0.000 0.000 Nb
0.500 0.500 0.500 Se
```

Results
For the uncorrected formation energy, the calculation gives 1.124 eV/atom. The value obtained for the raw total energy is -2.3786 eV per atom. The space group is Pm-3m (221). Its volume is 188.8 Å³ per cell. The total moment is 5.75 μB/cell. The value obtained for the energy above the most stable polymorph in this dataset is 3.10 eV per formula unit.

=====

12.
## La3CeY8 (GGA-PBE)

Data for La3CeY8 after structural relaxation.

Geometry as POSCAR:
```
La3CeY8
1.0
-6.568 3.244 -4.258
-1.072 -7.658 3.465
2.165 3.844 7.234
La Ce Y
3 1 8
direct
0.500 0.750 0.250 La
0.500 0.250 0.750 La
0.000 0.500 0.500 La
0.000 0.000 0.000 Ce
0.458 0.197 0.197 Y
0.542 0.738 0.738 Y
0.000 0.803 0.262 Y
0.000 0.262 0.803 Y
0.247 0.359 0.359 Y
0.753 0.112 0.112 Y
0.000 0.641 0.888 Y
0.000 0.888 0.641 Y
```

Results
The value obtained for the raw total energy is -5.4505 eV per atom. The space group is I-42m (121). As for the formation energy: 7.023 eV/f.u. Its volume is 447.8 Å³ per cell. The total moment is 0.01 μB/cell.

=====

13.
## AcTmIn2S6 (GGA-PBE)

Data for AcTmIn2S6 after structural relaxation.

Geometry as POSCAR:
```
AcTmIn2S6
1.0
-4.490 -3.404 -4.086
-1.489 -6.679 1.271
-6.549 -1.662 2.652
Ac Tm In S
1 1 2 6
direct
0.799 0.799 0.604 Ac
0.314 0.314 0.058 Tm
0.525 0.525 0.426 In
0.016 0.016 0.952 In
0.622 0.234 0.241 S
0.234 0.904 0.241 S
0.904 0.622 0.241 S
0.363 0.724 0.751 S
0.723 0.163 0.751 S
0.163 0.363 0.751 S
```

Results
For the uncorrected formation energy, the calculation gives -1.270 eV/atom. The value obtained for the raw total energy is -5.1525 eV per atom. The space group is R3 (146). Its volume is 253.6 Å³ per cell. The total moment is 0.00 μB/cell.

=====

14.
## Cd2FeCl6 (GGA-PBE)

Data for Cd2FeCl6 after structural relaxation.

Geometry as POSCAR:
```
Cd2FeCl6
1.0
0.842 2.115 6.219
4.483 -7.503 5.219
8.594 5.450 0.257
Cd Fe Cl
4 2 12
direct
0.087 0.647 0.813 Cd
0.413 0.187 0.353 Cd
0.913 0.353 0.187 Cd
0.587 0.813 0.647 Cd
0.250 0.219 0.781 Fe
0.750 0.781 0.219 Fe
0.239 0.783 0.623 Cl
0.261 0.377 0.217 Cl
0.761 0.217 0.377 Cl
0.739 0.623 0.783 Cl
0.861 0.797 0.409 Cl
0.639 0.591 0.203 Cl
0.139 0.203 0.591 Cl
0.361 0.409 0.797 Cl
0.055 0.777 0.034 Cl
0.445 0.966 0.223 Cl
0.945 0.223 0.966 Cl
0.555 0.034 0.777 Cl
```

Results
For the uncorrected formation energy, the calculation gives -0.917 eV/atom. The value obtained for the raw total energy is -3.2913 eV per atom. The space group is C2/c (15). Its volume is 619.8 Å³ per cell. The total moment is 8.00 μB/cell.

=====

15.
## CuReNi3 (GGA-PBE)

Data for CuReNi3 after structural relaxation.

Geometry as POSCAR:
```
CuReNi3
1.0
-0.455 0.099 4.158
4.029 -1.025 0.466
1.029 4.055 0.016
Re Cu Ni
1 1 3
direct
0.500 0.500 0.500 Re
0.000 0.000 0.000 Cu
0.000 0.500 0.000 Ni
0.000 0.000 0.500 Ni
0.500 0.000 0.000 Ni
```

Results
The value obtained for the raw total energy is -5.3251 eV per atom. The space group is Pm-3m (221). As for the formation energy: 7.263 eV/f.u. Its volume is 73.2 Å³ per cell. The total moment is 4.21 μB/cell. The value obtained for the energy above the most stable polymorph in this dataset is 0.00 eV per formula unit.

=====

16.
## Zr2Ga2Pd (GGA-PBE)

Data for Zr2Ga2Pd after structural relaxation.

Geometry as POSCAR:
```
Zr2Ga2Pd
1.0
-3.377 -1.491 1.833
1.138 -2.064 5.053
-2.809 6.857 5.039
Zr Ga Pd
4 4 2
direct
0.318 0.262 0.102 Zr
0.497 0.326 0.679 Zr
0.682 0.738 0.898 Zr
0.503 0.674 0.321 Zr
0.968 0.178 0.886 Ga
0.135 0.299 0.430 Ga
0.032 0.822 0.114 Ga
0.865 0.701 0.570 Ga
0.783 0.080 0.353 Pd
0.217 0.920 0.647 Pd
```

Results
The value obtained for the raw total energy is -6.3341 eV per atom. The space group is C2/m (12). As for the formation energy: -3.328 eV/f.u. Its volume is 185.5 Å³ per cell. The total moment is 0.00 μB/cell. The value obtained for the energy above the most stable polymorph in this dataset is 0.19 eV per formula unit.

=====

17.
## LiEr2Al4Pt3 (GGA-PBE)

Data for LiEr2Al4Pt3 after structural relaxation.

Geometry as POSCAR:
```
LiEr2Al4Pt3
1.0
4.099 0.000 0.000
0.000 4.099 0.000
0.000 0.000 10.922
Li Er Al Pt
1 2 4 3
direct
0.500 0.500 0.500 Li
0.500 0.000 0.243 Er
0.000 0.500 0.757 Er
0.500 0.500 0.000 Al
0.000 0.000 0.000 Al
0.500 0.000 0.633 Al
0.000 0.500 0.367 Al
0.000 0.000 0.500 Pt
0.500 0.000 0.861 Pt
0.000 0.500 0.139 Pt
```

Results
The value obtained for the raw total energy is -5.3605 eV per atom. The space group is P-4m2 (115). As for the formation energy: -9.473 eV/f.u. Its volume is 183.5 Å³ per cell. The total moment is 0.00 μB/cell.

=====

18.
## LiLaPr2S4 (GGA-PBE)

Data for LiLaPr2S4 after structural relaxation.

Geometry as POSCAR:
```
LiLaPr2S4
1.0
-2.648 1.100 -2.913
-5.397 -1.012 4.524
-1.309 5.951 3.438
Li La Pr S
1 1 2 4
direct
0.500 0.500 0.000 Li
0.000 0.500 0.500 La
0.000 0.000 0.000 Pr
0.500 0.000 0.500 Pr
0.000 0.744 0.757 S
0.000 0.256 0.243 S
0.500 0.746 0.244 S
0.500 0.254 0.756 S
```

Results
For the uncorrected formation energy, the calculation gives -1.933 eV/atom. The value obtained for the raw total energy is -6.0470 eV per atom. The space group is P2/m (10). Its volume is 191.8 Å³ per cell. The total moment is 0.00 μB/cell.

=====

19.
## BaHg2Pb5 (GGA-PBE)

Data for BaHg2Pb5 after structural relaxation.

Geometry as POSCAR:
```
BaHg2Pb5
1.0
4.836 0.000 0.000
2.418 7.473 -0.455
2.418 1.814 7.263
Ba Hg Pb
1 2 5
direct
0.000 0.000 0.000 Ba
0.718 0.782 0.782 Hg
0.282 0.218 0.218 Hg
0.000 0.500 0.500 Pb
0.651 0.537 0.162 Pb
0.349 0.463 0.838 Pb
0.349 0.838 0.463 Pb
0.651 0.162 0.537 Pb
```

Results
The value obtained for the raw total energy is -2.8061 eV per atom. The space group is Immm (71). As for the formation energy: -1.381 eV/f.u. Its volume is 266.5 Å³ per cell. The total moment is 0.00 μB/cell.

=====

20.
## NiAuSe2N (GGA-PBE)

Data for NiAuSe2N after structural relaxation.

Geometry as POSCAR:
```
NiAuSe2N
1.0
5.049 0.000 0.000
0.000 5.049 0.000
0.000 0.000 3.366
Ni Au Se N
1 1 2 1
direct
0.000 0.000 0.000 Ni
0.500 0.500 0.500 Au
0.000 0.500 0.000 Se
0.500 0.000 0.000 Se
0.000 0.000 0.500 N
```

Results
For the uncorrected formation energy, the calculation gives 0.623 eV/atom. The value obtained for the raw total energy is -4.2472 eV per atom. The space group is P4/mmm (123). Its volume is 85.8 Å³ per cell. The total moment is 0.00 μB/cell. The value obtained for the energy above the most stable polymorph in this dataset is 0.00 eV per formula unit.